Compound: ScCoPO
Source: OQMD
Functional: GGA+U
Structure: optimized geometry

Computed properties:
Crystal system = tetragonal
Energy relative to the lowest polymorph listed for this composition = 0.000 eV/atom
Mass density = 4.90 g/cm3

```
ScCoPO
1.0
3.707 0.000 0.000
0.000 3.707 0.000
0.000 0.000 7.436
Sc P O Co
2 2 2 2
Cartesian
2.780 2.780 6.434
0.927 0.927 1.001
2.780 2.780 2.600
0.927 0.927 4.836
0.927 2.780 0.000
2.780 0.927 0.000
0.927 2.780 3.718
2.780 0.927 3.718
```